## SmErSe2 (PBE)

Data for a relaxed SmErSe2 crystal.

Structure (POSCAR):
```
SmErSe2
1.0
-2.172 -2.442 2.421
-2.196 -3.018 -1.616
6.780 -2.337 0.292
Er Se Sm
1 2 1
Direct
0.000 0.000 0.000
0.746 0.746 0.237
0.254 0.254 0.763
0.500 0.500 0.500
```

Summary:
As for the crystal system: monoclinic. The volume is 97.26 Å³/cell. The calculation puts the total DFT energy (no corrections) at -23.3 eV for the cell shown.